Here is ZrGa2Co after structural relaxation from the Alexandria database. Energies are from PBE-GGA.

Results
* total magnetization: 0.0 μB per cell
* formation enthalpy at 0 K: -483 meV/atom
* DOS(E_F): 0.59 states/eV per atom

Cell: 7.538 6.459 5.159 Å, 90.00 90.00 90.00°
Space group Pnma (No. 62)
Asymmetric unit:
Zr  0.034  0.250  0.112
Ga  0.185  0.050  0.617
Co  0.094  0.750  0.369

***

Here is RuPb2 after structural relaxation from the Alexandria database. Energies are from PBE-GGA.

Results
* total magnetization: 0.0 μB per cell
* formation enthalpy at 0 K: 636 meV/atom
* DOS(E_F): 0.69 states/eV per atom

Cell: 4.8318 4.8318 3.4793 Å, 90.00 90.00 120.00°
Space group P-3m1 (No. 164)
Asymmetric unit:
Ru  0.0000  0.0000  0.0000
Pb  0.3333  0.6667  0.7553

***

Here is NbAl4Ir5 after structural relaxation from the Alexandria database. Energies are from PBE-GGA.

Results
* total magnetization: 0.0 μB per cell
* formation enthalpy at 0 K: -907 meV/atom
* DOS(E_F): 0.12 states/eV per atom

Cell: 2.960 2.960 16.190 Å, 90.00 90.00 90.00°
Space group P4/mmm (No. 123)
Asymmetric unit:
Nb  0.000  0.000  0.000
Al  0.000  0.000  0.212
Al  0.000  0.000  0.404
Ir  0.500  0.500  0.121
Ir  0.500  0.500  0.312
Ir  0.500  0.500  0.500

***

- Which formula does entry 2 have?
  RuPb2

***

- What is the formation enthalpy at 0 K in the third record?
  -907 meV/atom